[1]
GGA-PBE LaTeAs2, relaxed; crystal system = tetragonal; uncorrected energy = -19.7 eV/cell; symmetry = P4mm
1.0
-3.016 -2.457 1.441
2.668 -3.172 0.178
1.523 1.614 5.939
La As Te
1 2 1
direct
0.000 0.000 0.527
0.000 0.000 0.071
0.500 0.500 0.183
0.500 0.500 0.718

[2]
GGA-PBE Li3Hf2PaSe6, relaxed; crystal system = monoclinic; uncorrected energy = -71.3 eV/cell; symmetry = C2/m
1.0
-3.613 5.482 0.353
-1.665 -4.772 -4.206
-2.062 -3.060 6.001
Li Hf Se Pa
3 2 6 1
direct
0.164 0.836 0.500
0.836 0.164 0.500
0.500 0.500 0.500
0.667 0.333 0.000
0.333 0.667 0.000
0.431 0.084 0.254
0.084 0.431 0.254
0.262 0.262 0.746
0.569 0.916 0.746
0.738 0.738 0.254
0.916 0.569 0.746
0.000 0.000 0.000

[3]
GGA-PBE KFe2AuCl8, relaxed; crystal system = monoclinic; uncorrected energy = -46.2 eV/cell; symmetry = C2/m
1.0
-0.961 -4.356 -5.373
2.991 -6.966 0.574
-5.087 -7.244 2.245
Cl K Fe Au
8 1 2 1
direct
0.642 0.985 0.231
0.138 0.387 0.336
0.672 0.546 0.110
0.328 0.454 0.890
0.862 0.613 0.664
0.858 0.015 0.769
0.358 0.015 0.769
0.142 0.985 0.231
0.500 0.500 0.500
0.692 0.782 0.834
0.308 0.218 0.166
0.000 0.000 0.000

[4]
GGA-PBE SrPt, relaxed; crystal system = cubic; energy of formation = -5.386 kcal/mol of atoms; uncorrected energy = -49.1 eV/cell; symmetry = Pm-3n
1.0
-7.336 -1.045 -3.827
0.974 -8.274 0.393
-3.846 -0.101 7.400
Sr Pt
6 6
direct
0.000 0.500 0.250
0.750 0.000 0.500
0.000 0.500 0.750
0.250 0.000 0.500
0.500 0.250 0.000
0.500 0.750 0.000
0.250 0.500 0.000
0.500 0.000 0.750
0.500 0.000 0.250
0.750 0.500 0.000
0.000 0.250 0.500
0.000 0.750 0.500

[5]
GGA-PBE TlSbOs, relaxed; offset from the most stable computed form = 0.0 meV per atom; crystal system = tetragonal; uncorrected energy = -16.4 eV/cell; symmetry = I4mm
1.0
-0.661 0.351 7.014
-2.005 -3.761 5.620
3.457 0.930 -6.078
Os Sb Tl
1 1 1
direct
0.986 0.986 0.000
0.374 0.374 0.000
0.641 0.641 0.000

[6]
GGA-PBE TaAsRh3, relaxed; offset from the most stable computed form = 321.4 meV per atom; crystal system = cubic; energy of formation = 22.013 kcal/mol of atoms; uncorrected energy = -33.8 eV/cell; symmetry = Pm-3m
1.0
-4.538 -0.362 1.259
-0.155 -4.359 -1.812
1.300 -1.782 4.176
Rh As Ta
3 1 1
direct
0.000 0.000 0.500
0.500 0.000 0.000
0.000 0.500 0.000
0.500 0.500 0.500
0.000 0.000 0.000

[7]
GGA-PBE LaZr2Rh2, relaxed; offset from the most stable computed form = 160.3 meV per atom; crystal system = tetragonal; energy of formation = -10.844 kcal/mol of atoms; uncorrected energy = -78.2 eV/cell; symmetry = P4/mbm
1.0
-3.845 -2.414 6.490
-4.079 -5.209 -4.354
2.392 -2.332 0.550
Zr Rh La
4 4 2
direct
0.653 0.847 0.500
0.847 0.347 0.500
0.153 0.653 0.500
0.347 0.153 0.500
0.632 0.132 0.000
0.132 0.368 0.000
0.868 0.632 0.000
0.368 0.868 0.000
0.000 0.000 0.000
0.500 0.500 0.000

[8]
GGA-PBE NaTeIO6, relaxed; crystal system = trigonal; uncorrected energy = -86.1 eV/cell; symmetry = P-31c
1.0
-0.724 0.759 5.375
-0.697 -4.975 -2.180
10.050 -2.132 1.654
Na O I Te
2 12 2 2
direct
0.000 0.000 0.000
0.000 0.000 0.500
0.637 0.023 0.356
0.386 0.363 0.356
0.023 0.386 0.644
0.637 0.614 0.144
0.977 0.363 0.144
0.363 0.977 0.644
0.363 0.386 0.856
0.614 0.637 0.644
0.977 0.614 0.356
0.023 0.637 0.856
0.386 0.023 0.144
0.614 0.977 0.856
0.667 0.333 0.750
0.333 0.667 0.250
0.333 0.667 0.750
0.667 0.333 0.250

[9]
GGA-PBE Sr2TcIr, relaxed; offset from the most stable computed form = 144.2 meV per atom; crystal system = orthorhombic; energy of formation = 6.841 kcal/mol of atoms; uncorrected energy = -21.4 eV/cell; symmetry = Cmm2
1.0
-0.007 -3.464 0.522
1.457 0.197 3.179
-8.306 0.586 3.772
Tc Sr Ir
1 2 1
direct
0.000 0.000 0.584
0.000 0.000 0.918
0.500 0.500 0.326
0.500 0.500 0.671

[10]
GGA-PBE Be2Pt3W, relaxed; crystal system = tetragonal; energy of formation = -13.147 kcal/mol of atoms; uncorrected energy = -41.9 eV/cell; symmetry = P4/mmm
1.0
2.799 0.000 0.000
0.000 2.799 0.000
0.000 0.000 9.887
Pt Be W
3 2 1
direct
0.000 0.000 0.294
0.000 0.000 0.000
0.000 0.000 0.706
0.500 0.500 0.852
0.500 0.500 0.148
0.500 0.500 0.500

[11]
GGA-PBE HoZnIr, relaxed; crystal system = monoclinic; energy of formation = -14.713 kcal/mol of atoms; uncorrected energy = -33.3 eV/cell; symmetry = C2/m
1.0
-1.703 2.841 -2.522
-4.923 -1.508 -1.811
-3.924 3.384 3.026
Zn Ho Ir
2 2 2
direct
0.669 0.746 0.915
0.331 0.254 0.085
0.064 0.192 0.680
0.936 0.808 0.320
0.344 0.621 0.691
0.656 0.379 0.309

[12]
GGA-PBE HoTmTcPd, relaxed; crystal system = cubic; energy of formation = -9.721 kcal/mol of atoms; uncorrected energy = -26.3 eV/cell; symmetry = F-43m
1.0
-4.496 -1.702 0.561
-0.746 -4.760 0.461
-1.380 -1.832 4.262
Ho Tc Pd Tm
1 1 1 1
direct
0.250 0.250 0.250
0.500 0.500 0.500
0.000 0.000 0.000
0.750 0.750 0.750

What did the fourth record say?
GGA-PBE SrPt, relaxed; crystal system = cubic; energy of formation = -5.386 kcal/mol of atoms; uncorrected energy = -49.1 eV/cell; symmetry = Pm-3n
1.0
-7.336 -1.045 -3.827
0.974 -8.274 0.393
-3.846 -0.101 7.400
Sr Pt
6 6
direct
0.000 0.500 0.250
0.750 0.000 0.500
0.000 0.500 0.750
0.250 0.000 0.500
0.500 0.250 0.000
0.500 0.750 0.000
0.250 0.500 0.000
0.500 0.000 0.750
0.500 0.000 0.250
0.750 0.500 0.000
0.000 0.250 0.500
0.000 0.750 0.500

Question: What is the uncorrected energy in the fifth record?
Answer: -16.4 eV/cell